No. 1
# CdTcIr2C (SCAN, PBEsol geometry)
# formation energy from the elements	262.48	kJ/mol of atoms
# E	-40.834	eV/atom
data_CdTcIr2C
_cell_length_a 4.573
_cell_length_b 4.573
_cell_length_c 5.112
_cell_angle_alpha 90.00
_cell_angle_beta 90.00
_cell_angle_gamma 90.00
_space_group_name_H-M_alt 'P 4/m m m'
_space_group_IT_number 123
_space_group_name_Hall '-P 4 2'
loop_
_atom_site_label
_atom_site_type_symbol
_atom_site_fract_x
_atom_site_fract_y
_atom_site_fract_z
Cd1 Cd 0.000 0.000 0.000
Tc1 Tc 0.000 0.000 0.500
Ir1 Ir 0.000 0.500 0.500
C1 C 0.500 0.500 0.000



No. 2
# KCdC3N3O3 (SCAN, PBEsol geometry)
# E	-11.309	eV/atom
# formation energy from raw total energies	-0.7991	eV per atom
data_KCdC3N3O3
_cell_length_a 10.028
_cell_length_b 3.679
_cell_length_c 18.266
_cell_angle_alpha 90.00
_cell_angle_beta 90.00
_cell_angle_gamma 90.00
_space_group_name_H-M_alt 'P n m a'
_space_group_IT_number 62
loop_
_space_group_symop_operation_xyz
'x,y,z'
'-x,-y,-z'
'-x+1/2,-y,z+1/2'
'x+1/2,y,-z+1/2'
'x+1/2,-y+1/2,-z+1/2'
'-x+1/2,y+1/2,z+1/2'
'-x,y+1/2,-z'
'x,-y+1/2,z'
loop_
_atom_site_label
_atom_site_type_symbol
_atom_site_fract_x
_atom_site_fract_y
_atom_site_fract_z
K1 K 0.076 0.250 0.163
Cd1 Cd 0.137 0.250 0.544
C1 C 0.082 0.250 0.375
C2 C 0.135 0.250 0.971
C3 C 0.145 0.250 0.714
N1 N 0.023 0.250 0.433
N2 N 0.210 0.250 0.659
N3 N 0.234 0.250 0.010
O1 O 0.037 0.250 0.934
O2 O 0.082 0.250 0.771
O3 O 0.139 0.250 0.317



No. 3
# La3CdC (SCAN, PBEsol geometry)
# formation energy from the elements	-26.14	kJ/mol of atoms
# E	-34.237	eV/atom
data_La3CdC
_cell_length_a 5.160
_cell_length_b 5.160
_cell_length_c 5.160
_cell_angle_alpha 90.00
_cell_angle_beta 90.00
_cell_angle_gamma 90.00
_space_group_name_H-M_alt 'P m -3 m'
_space_group_IT_number 221
_space_group_name_Hall '-P 4 2 3'
loop_
_atom_site_label
_atom_site_type_symbol
_atom_site_fract_x
_atom_site_fract_y
_atom_site_fract_z
La1 La 0.000 0.000 0.500
Cd1 Cd 0.500 0.500 0.500
C1 C 0.000 0.000 0.000



No. 4
# MgCdC2O6 (SCAN, PBEsol geometry)
# E	-11.173	eV/atom
# formation energy from raw total energies	-1.8757	eV per atom
data_MgCdC2O6
_cell_length_a 4.8044
_cell_length_b 4.8044
_cell_length_c 15.4811
_cell_angle_alpha 90.00
_cell_angle_beta 90.00
_cell_angle_gamma 120.00
_space_group_name_H-M_alt 'R -3'
_space_group_IT_number 148
_space_group_name_Hall '-R 3'
loop_
_atom_site_label
_atom_site_type_symbol
_atom_site_fract_x
_atom_site_fract_y
_atom_site_fract_z
Mg1 Mg 0.0000 0.0000 0.0000
Cd1 Cd 0.0000 0.0000 0.5000
C1 C 0.0000 0.0000 0.2549
O1 O 0.0278 0.2819 0.7454